Compound: FeSiIr
Source: the Alexandria database
Functional: PBE-GGA
Structure: relaxed

CIF file:
```
data_FeSiIr
_chemical_formula_sum 'Fe1 Si1 Ir1'
_cell_length_a 2.7447
_cell_length_b 2.7447
_cell_length_c 5.8749
_cell_angle_alpha 90.00
_cell_angle_beta 90.00
_cell_angle_gamma 120.00
_space_group_name_H-M_alt 'P 1'
_space_group_IT_number 1
_space_group_name_Hall 'P 1'
loop_
_atom_site_label
_atom_site_fract_x
_atom_site_fract_y
_atom_site_fract_z
_atom_site_occupancy
Fe1 0.0000 0.0000 0.0000 1
Si1 0.3333 0.6667 0.6942 1
Ir1 0.6667 0.3333 0.3634 1
```

DFT total energy in eV/atom: -7.77
Space-group type: P3m1, No. 156
Magnetic moment in μB/atom: 0.526

Compound: LiCaAl3Ag
Source: the Alexandria database
Functional: PBE-GGA
Structure: relaxed

CIF file:
```
data_LiCaAl3Ag
_chemical_formula_sum 'Li2 Ca2 Al6 Ag2'
_cell_length_a 7.1030
_cell_length_b 7.1030
_cell_length_c 5.9190
_cell_angle_alpha 90.00
_cell_angle_beta 90.00
_cell_angle_gamma 128.31
_space_group_name_H-M_alt 'P 1'
_space_group_IT_number 1
_space_group_name_Hall 'P 1'
loop_
_atom_site_label
_atom_site_fract_x
_atom_site_fract_y
_atom_site_fract_z
_atom_site_occupancy
Li1 0.0829 0.9171 0.7500 1
Li2 0.9171 0.0829 0.2500 1
Ca1 0.2941 0.7059 0.7500 1
Ca2 0.7059 0.2941 0.2500 1
Al1 0.1316 0.8684 0.2500 1
Al2 0.2870 0.2870 0.0000 1
Al3 0.2870 0.2870 0.5000 1
Al4 0.7130 0.7130 0.0000 1
Al5 0.7130 0.7130 0.5000 1
Al6 0.8684 0.1316 0.7500 1
Ag1 0.3473 0.6527 0.2500 1
Ag2 0.6527 0.3473 0.7500 1
```

DFT formation energy in eV per atom: -0.137
Space-group type: Cmcm, No. 63
Magnetic moment in μB/atom: 0.000

Compound: Nb2ZnBr
Source: the Alexandria database
Functional: PBE-GGA
Structure: relaxed

CIF file:
```
data_Nb2ZnBr
_chemical_formula_sum 'Nb4 Zn2 Br2'
_cell_length_a 10.2233
_cell_length_b 10.2233
_cell_length_c 10.2233
_cell_angle_alpha 157.49
_cell_angle_beta 157.49
_cell_angle_gamma 32.05
_space_group_name_H-M_alt 'P 1'
_space_group_IT_number 1
_space_group_name_Hall 'P 1'
loop_
_atom_site_label
_atom_site_fract_x
_atom_site_fract_y
_atom_site_fract_z
_atom_site_occupancy
Nb1 0.1142 0.6250 0.9892 1
Nb2 0.3750 0.3642 0.4892 1
Nb3 0.6358 0.1250 0.0108 1
Nb4 0.8750 0.8858 0.5108 1
Zn1 0.0000 0.0000 0.0000 1
Zn2 0.7500 0.2500 0.5000 1
Br1 0.2500 0.7500 0.5000 1
Br2 0.5000 0.5000 0.0000 1
```

Polymorph energy (0 for the lowest one) in meV/atom: 18
Space-group type: I-42d, No. 122
Magnetic moment in μB/atom: 0.000

Compound: Ni3BiP
Source: the Alexandria database
Functional: PBE-GGA
Structure: relaxed

CIF file:
```
data_Ni3BiP
_chemical_formula_sum 'Ni3 Bi1 P1'
_cell_length_a 4.7404
_cell_length_b 4.7404
_cell_length_c 4.7404
_cell_angle_alpha 90.00
_cell_angle_beta 90.00
_cell_angle_gamma 90.00
_space_group_name_H-M_alt 'P 1'
_space_group_IT_number 1
_space_group_name_Hall 'P 1'
loop_
_atom_site_label
_atom_site_fract_x
_atom_site_fract_y
_atom_site_fract_z
_atom_site_occupancy
Ni1 0.0000 0.0000 0.5000 1
Ni2 0.0000 0.5000 0.0000 1
Ni3 0.5000 0.0000 0.0000 1
Bi1 0.0000 0.0000 0.0000 1
P1 0.5000 0.5000 0.5000 1
```

Polymorph energy (0 for the lowest one) in meV/atom: 1463
DFT formation energy in eV per atom: 1.404
Space-group type: Pm-3m, No. 221
Magnetic moment in μB/atom: 0.000

Compound: In2ReHgAs
Source: the Alexandria database
Functional: PBE-GGA
Structure: relaxed

CIF file:
```
data_In2ReHgAs
_chemical_formula_sum 'In2 Re1 Hg1 As1'
_cell_length_a 5.4200
_cell_length_b 5.4200
_cell_length_c 5.2126
_cell_angle_alpha 90.00
_cell_angle_beta 90.00
_cell_angle_gamma 90.00
_space_group_name_H-M_alt 'P 1'
_space_group_IT_number 1
_space_group_name_Hall 'P 1'
loop_
_atom_site_label
_atom_site_fract_x
_atom_site_fract_y
_atom_site_fract_z
_atom_site_occupancy
In1 0.0000 0.5000 0.0000 1
In2 0.5000 0.0000 0.0000 1
Re1 0.0000 0.0000 0.5000 1
Hg1 0.5000 0.5000 0.0000 1
As1 0.5000 0.5000 0.5000 1
```

DFT formation energy in eV per atom: 1.624
Space-group type: P4/mmm, No. 123
Magnetic moment in μB/atom: 0.812

Compound: Sm2Ga3Ni4Pt
Source: the Alexandria database
Functional: PBE-GGA
Structure: relaxed

CIF file:
```
data_Sm2Ga3Ni4Pt
_chemical_formula_sum 'Sm2 Ga3 Ni4 Pt1'
_cell_length_a 3.9400
_cell_length_b 3.9400
_cell_length_c 10.8433
_cell_angle_alpha 90.00
_cell_angle_beta 90.00
_cell_angle_gamma 90.00
_space_group_name_H-M_alt 'P 1'
_space_group_IT_number 1
_space_group_name_Hall 'P 1'
loop_
_atom_site_label
_atom_site_fract_x
_atom_site_fract_y
_atom_site_fract_z
_atom_site_occupancy
Sm1 0.0000 0.5000 0.2417 1
Sm2 0.5000 0.0000 0.7583 1
Ga1 0.0000 0.0000 0.0000 1
Ga2 0.0000 0.5000 0.6276 1
Ga3 0.5000 0.0000 0.3724 1
Ni1 0.0000 0.0000 0.5000 1
Ni2 0.0000 0.5000 0.8495 1
Ni3 0.5000 0.0000 0.1505 1
Ni4 0.5000 0.5000 0.5000 1
Pt1 0.5000 0.5000 0.0000 1
```

DFT formation energy in eV per atom: -0.571
Space-group type: P-4m2, No. 115
Magnetic moment in μB/atom: 0.000

Compound: Nd4SmSn15
Source: the Alexandria database
Functional: PBE-GGA
Structure: relaxed

CIF file:
```
data_Nd4SmSn15
_chemical_formula_sum 'Nd4 Sm1 Sn15'
_cell_length_a 4.7015
_cell_length_b 4.7015
_cell_length_c 24.5844
_cell_angle_alpha 90.00
_cell_angle_beta 90.00
_cell_angle_gamma 90.00
_space_group_name_H-M_alt 'P 1'
_space_group_IT_number 1
_space_group_name_Hall 'P 1'
loop_
_atom_site_label
_atom_site_fract_x
_atom_site_fract_y
_atom_site_fract_z
_atom_site_occupancy
Nd1 0.0000 0.0000 0.1003 1
Nd2 0.0000 0.0000 0.3003 1
Nd3 0.0000 0.0000 0.6997 1
Nd4 0.0000 0.0000 0.8997 1
Sm1 0.0000 0.0000 0.5000 1
Sn1 0.0000 0.5000 0.0000 1
Sn2 0.0000 0.5000 0.2003 1
Sn3 0.0000 0.5000 0.4009 1
Sn4 0.0000 0.5000 0.5991 1
Sn5 0.0000 0.5000 0.7997 1
Sn6 0.5000 0.0000 0.0000 1
Sn7 0.5000 0.0000 0.2003 1
Sn8 0.5000 0.0000 0.4009 1
Sn9 0.5000 0.0000 0.5991 1
Sn10 0.5000 0.0000 0.7997 1
Sn11 0.5000 0.5000 0.1001 1
Sn12 0.5000 0.5000 0.3007 1
Sn13 0.5000 0.5000 0.5000 1
Sn14 0.5000 0.5000 0.6993 1
Sn15 0.5000 0.5000 0.8999 1
```

DFT formation energy in eV per atom: -0.490
Space-group type: P4/mmm, No. 123
Magnetic moment in μB/atom: 0.000

Compound: Pa2VHg
Source: the Alexandria database
Functional: PBE-GGA
Structure: relaxed

CIF file:
```
data_Pa2VHg
_chemical_formula_sum 'Pa2 V1 Hg1'
_cell_length_a 3.0949
_cell_length_b 3.0949
_cell_length_c 9.2000
_cell_angle_alpha 90.00
_cell_angle_beta 90.00
_cell_angle_gamma 90.00
_space_group_name_H-M_alt 'P 1'
_space_group_IT_number 1
_space_group_name_Hall 'P 1'
loop_
_atom_site_label
_atom_site_fract_x
_atom_site_fract_y
_atom_site_fract_z
_atom_site_occupancy
Pa1 0.0000 0.0000 0.2187 1
Pa2 0.0000 0.0000 0.7813 1
V1 0.5000 0.5000 0.0000 1
Hg1 0.5000 0.5000 0.5000 1
```

Polymorph energy (0 for the lowest one) in meV/atom: 0
DFT formation energy in eV per atom: 0.146
Space-group type: P4/mmm, No. 123
Magnetic moment in μB/atom: 0.284

Compound: VCN3
Source: the Alexandria database
Functional: PBE-GGA
Structure: relaxed

CIF file:
```
data_VCN3
_chemical_formula_sum 'V1 C1 N3'
_cell_length_a 3.8010
_cell_length_b 3.8010
_cell_length_c 3.8010
_cell_angle_alpha 90.00
_cell_angle_beta 90.00
_cell_angle_gamma 90.00
_space_group_name_H-M_alt 'P 1'
_space_group_IT_number 1
_space_group_name_Hall 'P 1'
loop_
_atom_site_label
_atom_site_fract_x
_atom_site_fract_y
_atom_site_fract_z
_atom_site_occupancy
V1 0.0000 0.0000 0.0000 1
C1 0.5000 0.5000 0.5000 1
N1 0.0000 0.0000 0.5000 1
N2 0.0000 0.5000 0.0000 1
N3 0.5000 0.0000 0.0000 1
```

DFT total energy in eV/atom: -6.52
Space-group type: Pm-3m, No. 221
Magnetic moment in μB/atom: 0.132

Compound: LaDyIn2Au4
Source: the Alexandria database
Functional: PBE-GGA
Structure: relaxed

CIF file:
```
data_LaDyIn2Au4
_chemical_formula_sum 'La1 Dy1 In2 Au4'
_cell_length_a 8.7904
_cell_length_b 8.7904
_cell_length_c 8.7904
_cell_angle_alpha 33.12
_cell_angle_beta 33.12
_cell_angle_gamma 33.12
_space_group_name_H-M_alt 'P 1'
_space_group_IT_number 1
_space_group_name_Hall 'P 1'
loop_
_atom_site_label
_atom_site_fract_x
_atom_site_fract_y
_atom_site_fract_z
_atom_site_occupancy
La1 0.0000 0.0000 0.0000 1
Dy1 0.5000 0.5000 0.5000 1
In1 0.2503 0.2503 0.2503 1
In2 0.7497 0.7497 0.7497 1
Au1 0.1308 0.1308 0.1308 1
Au2 0.3818 0.3818 0.3818 1
Au3 0.6182 0.6182 0.6182 1
Au4 0.8692 0.8692 0.8692 1
```

DFT formation energy in eV per atom: -0.698
Space-group type: R-3m, No. 166
Magnetic moment in μB/atom: 0.000